1.
# TiHAu2, relaxed, DFT GGA-PBEsol
# Energy relative to the lowest polymorph listed for this composition (meV per atom): 250
# V (Å³ per cell): 58
data_TiHAu2
_cell_length_a 4.344
_cell_length_b 4.344
_cell_length_c 4.344
_cell_angle_alpha 60.00
_cell_angle_beta 60.00
_cell_angle_gamma 60.00
_symmetry_space_group_name_H-M 'P 1'
_symmetry_Int_Tables_number 1
loop_
_symmetry_equiv_pos_as_xyz
'x,y,z'
loop_
_atom_site_label
_atom_site_fract_x
_atom_site_fract_y
_atom_site_fract_z
Ti1 0.500 0.500 0.500
Au1 0.250 0.250 0.250
Au2 0.750 0.750 0.750
H1 0.000 0.000 0.000

---

2.
# TcIrAu3, relaxed, DFT GGA-PBEsol
# V (Å³ per cell): 118
# Calculated formation energy (eV/atom): 1.822
data_TcIrAu3
_cell_length_a 4.905
_cell_length_b 4.905
_cell_length_c 4.905
_cell_angle_alpha 90.00
_cell_angle_beta 90.00
_cell_angle_gamma 90.00
_symmetry_space_group_name_H-M 'P 1'
_symmetry_Int_Tables_number 1
loop_
_symmetry_equiv_pos_as_xyz
'x,y,z'
loop_
_atom_site_label
_atom_site_fract_x
_atom_site_fract_y
_atom_site_fract_z
Tc1 0.500 0.500 0.500
Au1 0.000 0.000 0.500
Au2 0.500 0.000 0.000
Au3 0.000 0.500 0.000
Ir1 0.000 0.000 0.000

---

3.
# PdBr2, relaxed, DFT GGA-PBEsol
# V (Å³ per cell): 165
data_PdBr2
_cell_length_a 4.116
_cell_length_b 6.443
_cell_length_c 6.653
_cell_angle_alpha 100.52
_cell_angle_beta 108.02
_cell_angle_gamma 90.00
_symmetry_space_group_name_H-M 'P 1'
_symmetry_Int_Tables_number 1
loop_
_symmetry_equiv_pos_as_xyz
'x,y,z'
loop_
_atom_site_label
_atom_site_fract_x
_atom_site_fract_y
_atom_site_fract_z
Br1 0.551 0.200 0.735
Br2 0.817 0.300 0.265
Br3 0.183 0.700 0.735
Br4 0.449 0.800 0.265
Pd1 0.500 0.500 0.000
Pd2 0.500 0.000 0.000

---

4.
# Mn5Cr3O16, relaxed, DFT GGA-PBEsol
# V (Å³ per cell): 240
data_Mn5Cr3O16
_cell_length_a 5.645
_cell_length_b 5.669
_cell_length_c 8.643
_cell_angle_alpha 90.26
_cell_angle_beta 90.00
_cell_angle_gamma 119.86
_symmetry_space_group_name_H-M 'P 1'
_symmetry_Int_Tables_number 1
loop_
_symmetry_equiv_pos_as_xyz
'x,y,z'
loop_
_atom_site_label
_atom_site_fract_x
_atom_site_fract_y
_atom_site_fract_z
O1 0.332 0.665 0.901
O2 0.480 0.520 0.658
O3 0.832 0.170 0.897
O4 0.003 0.006 0.680
O5 0.521 0.478 0.160
O6 0.040 0.520 0.658
O7 0.167 0.333 0.400
O8 0.663 0.325 0.402
O9 0.474 0.949 0.661
O10 0.002 0.005 0.181
O11 0.661 0.828 0.395
O12 0.828 0.657 0.895
O13 0.520 0.040 0.157
O14 0.338 0.170 0.897
O15 0.167 0.828 0.395
O16 0.956 0.478 0.160
Mn1 0.171 0.341 0.787
Mn2 0.834 0.171 0.287
Mn3 0.332 0.664 0.518
Mn4 0.667 0.333 0.017
Mn5 0.337 0.171 0.287
Cr1 0.165 0.838 0.795
Cr2 0.673 0.838 0.795
Cr3 0.836 0.673 0.299

---

5.
# Tl3AgRu, relaxed, DFT GGA-PBEsol
# V (Å³ per cell): 142
# Calculated formation energy (eV/atom): 1.284
data_Tl3AgRu
_cell_length_a 5.219
_cell_length_b 5.219
_cell_length_c 5.219
_cell_angle_alpha 90.00
_cell_angle_beta 90.00
_cell_angle_gamma 90.00
_symmetry_space_group_name_H-M 'P 1'
_symmetry_Int_Tables_number 1
loop_
_symmetry_equiv_pos_as_xyz
'x,y,z'
loop_
_atom_site_label
_atom_site_fract_x
_atom_site_fract_y
_atom_site_fract_z
Tl1 0.500 0.000 0.000
Tl2 0.000 0.500 0.000
Tl3 0.000 0.000 0.500
Ag1 0.000 0.000 0.000
Ru1 0.500 0.500 0.500

---

6.
# NaZn2As, relaxed, DFT GGA-PBEsol
# V (Å³ per cell): 169
# Calculated formation energy (eV/atom): 0.071
data_NaZn2As
_cell_length_a 5.468
_cell_length_b 6.193
_cell_length_c 6.193
_cell_angle_alpha 78.76
_cell_angle_beta 63.80
_cell_angle_gamma 63.80
_symmetry_space_group_name_H-M 'P 1'
_symmetry_Int_Tables_number 1
loop_
_symmetry_equiv_pos_as_xyz
'x,y,z'
loop_
_atom_site_label
_atom_site_fract_x
_atom_site_fract_y
_atom_site_fract_z
As1 0.750 0.500 0.500
As2 0.000 0.000 0.000
Na1 0.250 0.500 0.500
Na2 0.500 0.000 0.000
Zn1 0.698 0.927 0.427
Zn2 0.875 0.427 0.073
Zn3 0.052 0.073 0.573
Zn4 0.375 0.573 0.927

---

7.
# LiRu2Br, relaxed, DFT GGA-PBEsol
# Energy relative to the lowest polymorph listed for this composition (meV per atom): 473
# V (Å³ per cell): 52
data_LiRu2Br
_cell_length_a 4.203
_cell_length_b 4.203
_cell_length_c 4.203
_cell_angle_alpha 60.00
_cell_angle_beta 60.00
_cell_angle_gamma 60.00
_symmetry_space_group_name_H-M 'P 1'
_symmetry_Int_Tables_number 1
loop_
_symmetry_equiv_pos_as_xyz
'x,y,z'
loop_
_atom_site_label
_atom_site_fract_x
_atom_site_fract_y
_atom_site_fract_z
Br1 0.000 0.000 0.000
Ru1 0.750 0.750 0.750
Ru2 0.250 0.250 0.250
Li1 0.500 0.500 0.500

---

8.
# LiReSb2, relaxed, DFT GGA-PBEsol
# Energy relative to the lowest polymorph listed for this composition (meV per atom): 56
# V (Å³ per cell): 73
data_LiReSb2
_cell_length_a 3.308
_cell_length_b 4.486
_cell_length_c 5.165
_cell_angle_alpha 90.03
_cell_angle_beta 108.68
_cell_angle_gamma 90.00
_symmetry_space_group_name_H-M 'P 1'
_symmetry_Int_Tables_number 1
loop_
_symmetry_equiv_pos_as_xyz
'x,y,z'
loop_
_atom_site_label
_atom_site_fract_x
_atom_site_fract_y
_atom_site_fract_z
Re1 0.697 0.125 0.394
Sb1 0.981 0.125 0.962
Sb2 0.276 0.625 0.552
Li1 0.546 0.625 0.092

---

Number 1: E_tot -18.3 eV for the cell shown. Number 2: E_tot -23.8 eV for the cell shown. Number 3: E_tot -21.1 eV for the cell shown. Number 4: E_tot -203.5 eV for the cell shown. Number 5: E_tot -15.0 eV for the cell shown. Number 6: E_tot -18.8 eV for the cell shown. Number 7: E_tot -21.3 eV for the cell shown. Number 8: E_tot -23.8 eV for the cell shown.